VASP calculation (GGA-PBE) on Zn8CoIr2 after structural relaxation.

Cell: 4.129 8.816 6.378 Å, 122.20 90.00 117.93°
Each line ends with the local moment (μB).
Atoms (fractional coordinates):
Zn: 0.704 0.704 0.736  0.00
Zn: 0.823 0.323 0.000  0.00
Ir: 0.625 0.625 0.250  0.01
Zn: 0.296 0.296 0.264  0.00
Zn: 0.033 0.033 0.739  0.00
Zn: 0.735 0.235 0.475  -0.01
Zn: 0.177 0.677 0.000  0.00
Zn: 0.967 0.967 0.261  0.00
Zn: 0.265 0.765 0.525  -0.01
Co: 0.500 0.000 0.000  0.34
Ir: 0.375 0.375 0.750  0.01

* ΔE_f: -0.07 eV per atom
* Fermi-level density of states: 0.47 states/eV per atom
* total magnetization: 0.03 μB per atom
* SG: No. 10
* calculated total energy: -3.25 eV per atom